This record from the Alexandria database describes a relaxed structure of Nd2Cu3Ni2. The functional is PBE.

Energy relative to the lowest polymorph listed for this composition = 0 meV/atom
Formation energy = -0.232 eV per atom
DOS(E_F) = 3.34 states/eV/cell

Cell: 4.0415 5.2714 6.8850 Å, 113.63 90.00 112.54°
Closest atoms and distances in Å follow each position.
Fractional coordinates of all 7 atoms:
Cu1 0.6465 0.2929 0.4298  3 Ni 2.55-2.58, 3 Cu 2.67-2.72
Ni1 0.8644 0.7289 0.8096  5 Cu 2.46-2.58
Cu2 0.5000 0.0000 0.0000  4 Ni 2.46, 2 Cu 2.67
Nd1 0.8660 0.7320 0.2392  4 Ni 2.79-2.95, 3 Cu 2.95-3.09
Nd2 0.1340 0.2680 0.7608  4 Ni 2.79-2.95, 3 Cu 2.95-3.09
Cu3 0.3535 0.7071 0.5702  3 Ni 2.55-2.58, 3 Cu 2.67-2.72
Ni2 0.1356 0.2711 0.1904  5 Cu 2.46-2.58

---

This record from the Alexandria database describes a relaxed structure of Nd7Cu2Ni2. The functional is PBE.

Formation energy = -0.002 eV per atom
DOS(E_F) = 13.27 states/eV/cell

Cell: 6.8352 7.0679 6.8352 Å, 90.00 113.33 90.00°
Closest atoms and distances in Å follow each position.
Fractional coordinates of all 11 atoms:
Cu1 0.8364 0.5000 0.8364  1 Cu 2.46
Nd1 0.5002 0.7458 0.4998  2 Ni 2.86, 2 Cu 3.07
Nd2 0.5003 0.7372 0.9998  2 Ni 2.72
Cu2 0.1636 0.5000 0.1636  1 Cu 2.46
Ni1 0.6945 0.0000 0.3055  6 Nd 2.72-2.86
Nd3 0.0002 0.7372 0.4997  2 Ni 2.72
Nd4 0.0000 0.0000 0.0000  2 Ni 3.49, 4 Cu 3.74, 8 Nd 3.89
Nd5 0.4997 0.2628 0.0002  2 Ni 2.72
Ni2 0.3055 0.0000 0.6945  6 Nd 2.72-2.86
Nd6 0.9998 0.2628 0.5003  2 Ni 2.72
Nd7 0.4998 0.2542 0.5002  2 Ni 2.86, 2 Cu 3.07

---

This record from the Alexandria database describes a relaxed structure of NdCu2Ni4. The functional is PBE.

Energy relative to the lowest polymorph listed for this composition = 0 meV/atom
Formation energy = -0.114 eV per atom
DOS(E_F) = 9.02 states/eV/cell

Cell: 4.8903 5.0715 5.0717 Å, 76.37 61.09 61.09°
Closest atoms and distances in Å follow each position.
Fractional coordinates of all 7 atoms:
Cu1 0.7502 0.4999 0.4999  2 Cu 2.44-2.45, 8 Ni 2.58-2.59
Nd1 0.0000 0.0000 0.0000  12 Ni 2.73-2.99
Ni1 0.6925 0.0001 0.6151  4 Ni 2.41-2.65, 4 Cu 2.58-2.59
Ni2 0.3076 0.9999 0.3849  4 Ni 2.41-2.65, 4 Cu 2.58-2.59
Ni3 0.6924 0.6151 0.0001  4 Ni 2.41-2.65, 4 Cu 2.58-2.59
Ni4 0.3076 0.3849 0.9999  4 Ni 2.41-2.65, 4 Cu 2.58-2.59
Cu2 0.2497 0.5001 0.5001  2 Cu 2.44-2.45, 8 Ni 2.58-2.59

---

This record from the Alexandria database describes a relaxed structure of NdCuNi3. The functional is PBE.

Energy relative to the lowest polymorph listed for this composition = 0 meV/atom
Formation energy = -0.106 eV per atom
DOS(E_F) = 10.08 states/eV/cell

Cell: 4.8563 6.2410 6.2410 Å, 65.33 67.10 67.10°
Closest atoms and distances in Å follow each position.
Fractional coordinates of all 10 atoms:
Ni1 0.1971 0.3673 0.2384  2 Cu 2.43-2.65, 5 Ni 2.49-2.62
Ni2 0.8029 0.2616 0.1327  2 Cu 2.43-2.65, 5 Ni 2.49-2.62
Ni3 0.0000 0.0000 0.5000  2 Cu 2.41, 6 Ni 2.43-2.49
Nd1 0.5000 0.0000 0.0000  10 Ni 2.86-3.12, 4 Cu 2.97
Nd2 0.5000 0.5000 0.5000  10 Ni 2.86-3.12, 4 Cu 2.97
Ni4 0.5000 0.0000 0.5000  2 Cu 2.41, 6 Ni 2.43-2.49
Ni5 0.8029 0.6327 0.7616  2 Cu 2.43-2.65, 5 Ni 2.49-2.62
Cu1 0.0270 0.2230 0.7230  6 Ni 2.41-2.65
Cu2 0.9730 0.7770 0.2770  6 Ni 2.41-2.65
Ni6 0.1971 0.7384 0.8673  2 Cu 2.43-2.65, 5 Ni 2.49-2.62

---

This record from the Alexandria database describes a relaxed structure of Nd2CuNi. The functional is PBE.

Formation energy = -0.184 eV per atom
DOS(E_F) = 3.26 states/eV/cell

Cell: 3.5396 3.5396 7.0992 Å, 90.00 90.00 90.00°
Closest atoms and distances in Å follow each position.
Fractional coordinates of all 4 atoms:
Nd1 0.0000 0.0000 0.2419  4 Ni 3.04, 4 Cu 3.10
Cu1 0.5000 0.5000 0.5000  8 Nd 3.10
Nd2 0.0000 0.0000 0.7581  4 Ni 3.04, 4 Cu 3.10
Ni1 0.5000 0.5000 0.0000  8 Nd 3.04

---

This record from the Alexandria database describes a relaxed structure of NdCuNi3. The functional is PBE.

Energy relative to the lowest polymorph listed for this composition = 337 meV/atom
Formation energy = 0.231 eV per atom
DOS(E_F) = 6.73 states/eV/cell

Cell: 4.4142 5.3903 7.1741 Å, 90.00 90.00 90.00°
Closest atoms and distances in Å follow each position.
Fractional coordinates of all 10 atoms:
Ni1 0.0000 0.7481 0.2509  2 Cu 2.24
Ni2 0.5000 0.5000 0.0000  2 Cu 2.21
Nd1 0.5000 0.0000 0.0000  2 Ni 2.70
Ni3 0.5000 0.0000 0.5000  2 Cu 2.21
Cu1 0.0000 0.5000 0.0000  6 Ni 2.21-2.24
Nd2 0.5000 0.5000 0.5000  2 Ni 2.70
Ni4 0.0000 0.2519 0.7491  2 Cu 2.24
Ni5 0.0000 0.7519 0.7509  2 Cu 2.24
Cu2 0.0000 0.0000 0.5000  6 Ni 2.21-2.24
Ni6 0.0000 0.2481 0.2491  2 Cu 2.24

---

This record from the Alexandria database describes a relaxed structure of Nd3Cu2Ni4. The functional is PBE.

Formation energy = -0.279 eV per atom
DOS(E_F) = 6.84 states/eV/cell

Cell: 4.1728 5.3312 8.2451 Å, 99.94 90.00 113.04°
Closest atoms and distances in Å follow each position.
Fractional coordinates of all 9 atoms:
Ni1 0.0874 0.1747 0.6345  2 Cu 2.50, 2 Ni 2.54-2.63
Ni2 0.7362 0.4724 0.0820  3 Cu 2.44-2.47, 3 Ni 2.53-2.63
Nd1 0.3789 0.7578 0.6251  6 Ni 2.85-3.05, 1 Cu 3.03
Nd2 0.0000 0.0000 0.0000  6 Ni 2.80-3.10
Ni3 0.2638 0.5276 0.9180  3 Cu 2.44-2.47, 3 Ni 2.53-2.63
Ni4 0.9126 0.8253 0.3655  2 Cu 2.50, 2 Ni 2.54-2.63
Cu1 0.3147 0.6294 0.2233  5 Ni 2.44-2.50
Cu2 0.6853 0.3706 0.7767  5 Ni 2.44-2.50
Nd3 0.6211 0.2422 0.3749  6 Ni 2.85-3.05, 1 Cu 3.03

---

This record from the Alexandria database describes a relaxed structure of NdCuNi2. The functional is PBE.

Formation energy = -0.280 eV per atom
DOS(E_F) = 7.07 states/eV/cell

Cell: 5.1160 5.1160 8.7715 Å, 73.04 73.04 60.00°
Closest atoms and distances in Å follow each position.
Fractional coordinates of all 12 atoms:
Cu1 0.5000 0.5000 0.5000  6 Ni 2.57
Nd1 0.0000 0.0000 0.0000  6 Cu 2.95, 12 Ni 3.26
Cu2 0.3331 0.3331 0.0008  6 Ni 2.50-2.51
Cu3 0.6669 0.6669 0.9992  6 Ni 2.50-2.51
Nd2 0.1373 0.1373 0.5881  9 Ni 2.91-3.20, 3 Cu 3.04
Ni1 0.4180 0.9190 0.2449  3 Cu 2.50-2.57, 4 Ni 2.55-2.56
Ni2 0.5820 0.5820 0.7551  3 Cu 2.50-2.57, 4 Ni 2.55-2.56
Ni3 0.9190 0.4180 0.2449  3 Cu 2.50-2.57, 4 Ni 2.55-2.56
Ni4 0.4180 0.4180 0.2449  3 Cu 2.50-2.57, 4 Ni 2.55-2.56
Ni5 0.0810 0.5820 0.7551  3 Cu 2.50-2.57, 4 Ni 2.55-2.56
Ni6 0.5820 0.0810 0.7551  3 Cu 2.50-2.57, 4 Ni 2.55-2.56
Nd3 0.8627 0.8627 0.4119  9 Ni 2.91-3.20, 3 Cu 3.04

---

This record from the Alexandria database describes a relaxed structure of Nd3Cu3Ni. The functional is PBE.

Formation energy = -0.222 eV per atom
DOS(E_F) = 6.00 states/eV/cell

Cell: 4.3355 3.8521 9.6481 Å, 101.52 102.98 90.00°
Closest atoms and distances in Å follow each position.
Fractional coordinates of all 7 atoms:
Ni1 0.4332 0.4332 0.8665  3 Cu 2.40-2.51
Cu1 0.1359 0.6359 0.2717  2 Cu 2.54
Nd1 0.9967 0.9967 0.9934  8 Cu 3.10-3.20, 4 Ni 3.13
Nd2 0.6841 0.1841 0.3681  6 Cu 2.94-3.03
Cu2 0.5635 0.5635 0.1271  1 Ni 2.40, 2 Cu 2.54
Cu3 0.8644 0.3644 0.7288  2 Ni 2.51
Nd3 0.3222 0.8222 0.6444  2 Ni 2.81, 4 Cu 3.00

---

This record from the Alexandria database describes a relaxed structure of Nd3Cu7Ni2. The functional is PBE.

Formation energy = -0.156 eV per atom
DOS(E_F) = 8.87 states/eV/cell

Cell: 5.1562 5.1562 9.0693 Å, 73.49 73.49 60.00°
Closest atoms and distances in Å follow each position.
Fractional coordinates of all 12 atoms:
Cu1 0.5786 0.0806 0.7622  2 Ni 2.51-2.54, 5 Cu 2.57-2.69
Ni1 0.3325 0.3325 0.0026  6 Cu 2.51-2.54
Cu2 0.5000 0.5000 0.5000  6 Cu 2.69
Cu3 0.5786 0.5786 0.7622  2 Ni 2.51-2.54, 5 Cu 2.57-2.69
Nd1 0.8588 0.8588 0.4236  12 Cu 3.03-3.26, 3 Nd 3.25
Nd2 0.0000 0.0000 0.0000  6 Ni 2.98, 12 Cu 3.29
Nd3 0.1412 0.1412 0.5764  12 Cu 3.03-3.26, 3 Nd 3.25
Ni2 0.6675 0.6675 0.9974  6 Cu 2.51-2.54
Cu4 0.4214 0.4214 0.2378  2 Ni 2.51-2.54, 5 Cu 2.57-2.69
Cu5 0.9194 0.4214 0.2378  2 Ni 2.51-2.54, 5 Cu 2.57-2.69
Cu6 0.0806 0.5786 0.7622  2 Ni 2.51-2.54, 5 Cu 2.57-2.69
Cu7 0.4214 0.9194 0.2378  2 Ni 2.51-2.54, 5 Cu 2.57-2.69

---

Question: Look up the DOS(E_F) of the eighth one.
Answer: 7.07 states/eV/cell